Compound: NaLaGa4
Source: Alexandria via LeMat-Bulk
Functional: GGA-PBE
Structure: optimized geometry

abc: 4.5469 7.6053 8.0029
angles: 90.00 90.00 90.00
With the nearest neighbours (Å) after each atom.
Positions (direct):
Na  0.0000  0.0000  0.0000  4 Ga 2.99
Na  0.5000  0.5000  0.5000  4 Ga 2.99
La  0.0000  0.5000  0.0000  12 Ga 3.09-3.43
La  0.5000  0.0000  0.5000  12 Ga 3.09-3.43
Ga  0.0000  0.2013  0.3209  3 Ga 2.65-2.87
Ga  0.0000  0.2013  0.6791  3 Ga 2.65-2.87
Ga  0.0000  0.7987  0.3209  3 Ga 2.65-2.87
Ga  0.0000  0.7987  0.6791  3 Ga 2.65-2.87
Ga  0.5000  0.2987  0.1791  3 Ga 2.65-2.87
Ga  0.5000  0.2987  0.8209  3 Ga 2.65-2.87
Ga  0.5000  0.7013  0.1791  3 Ga 2.65-2.87
Ga  0.5000  0.7013  0.8209  3 Ga 2.65-2.87

Calculated values
E_form: -407 meV/atom
Calculated total energy: -41.6 eV for the cell shown